## BaSrAl2 (PBEsol)

Data for a relaxed BaSrAl2 crystal.

Computed properties:
- formation enthalpy at 0 K (kcal/mol of atoms) = 0.343
- excess energy over the best structure of this formula in the dataset (eV/atom) = 0.132
- E_tot (eV per atom) = -3.028
- total moment (μB per formula unit) = 0.12

Lattice parameters (Å, degrees): 3.6899 3.6899 9.5279 90.00 90.00 90.00
Positions (direct):
1 Ba 0.0000 0.0000 0.4339
2 Al 0.0000 0.0000 0.0597
3 Al 0.5000 0.5000 0.1829
4 Sr 0.5000 0.5000 0.8235